Density functional theory data (PBE+U) for an optimized crystal structure of BaCoF. Values from VASP.

```
&SYSTEM
  ibrav = 0, nat = 12, ntyp = 3
/
ATOMIC_SPECIES
Co 58.93 Co.upf
Ba 137.33 Ba.upf
F 19.00 F.upf
ATOMIC_POSITIONS crystal
Co 0.250 0.250 0.250
Co 0.250 0.750 0.750
Co 0.750 0.750 0.750
Co 0.750 0.250 0.250
Ba 0.000 0.250 0.750
Ba 0.500 0.750 0.250
Ba 0.000 0.750 0.250
Ba 0.500 0.250 0.750
F 0.000 0.250 0.250
F 0.500 0.750 0.750
F 0.000 0.750 0.750
F 0.500 0.250 0.250
CELL_PARAMETERS angstrom
-0.359 4.665 -9.037
2.840 -4.041 -2.199
-4.597 -2.599 -1.159
```

Crystal system = tetragonal



Density functional theory data (PBE+U) for an optimized crystal structure of BaCoF5. Values from VASP.

```
&SYSTEM
  ibrav = 0, nat = 14, ntyp = 3
/
ATOMIC_SPECIES
Ba 137.33 Ba.upf
Co 58.93 Co.upf
F 19.00 F.upf
ATOMIC_POSITIONS crystal
Ba 0.750 0.500 0.250
Ba 0.250 0.500 0.750
Co 0.000 0.000 0.000
Co 0.500 0.000 0.500
F 0.735 0.993 0.098
F 0.161 0.851 0.553
F 0.604 0.363 0.598
F 0.263 0.013 0.250
F 0.798 0.608 0.947
F 0.202 0.392 0.053
F 0.737 0.987 0.750
F 0.396 0.637 0.402
F 0.839 0.149 0.447
F 0.265 0.007 0.902
CELL_PARAMETERS angstrom
5.279 -0.202 -1.257
-2.410 4.842 -0.490
-0.177 -0.284 8.345
```

Crystal system = monoclinic



Density functional theory data (PBE+U) for an optimized crystal structure of BaCoF3. Values from VASP.

```
&SYSTEM
  ibrav = 0, nat = 5, ntyp = 3
/
ATOMIC_SPECIES
Co 58.93 Co.upf
Ba 137.33 Ba.upf
F 19.00 F.upf
ATOMIC_POSITIONS crystal
Co 0.000 0.000 0.000
Ba 0.500 0.500 0.500
F 0.000 0.500 0.000
F 0.000 0.000 0.500
F 0.500 0.000 0.000
CELL_PARAMETERS angstrom
-2.591 -0.346 3.353
3.205 -1.562 2.315
1.043 3.939 1.213
```

Crystal system = cubic



Number 1: DFT total energy -12.32 eV/f.u.. Number 2: DFT total energy -35.48 eV/f.u.. Number 3: DFT total energy -25.49 eV/f.u..